(1)
# MgNi2RuN, optimized geometry, DFT PBE
data_MgNi2RuN
_cell_length_a 3.8676
_cell_length_b 3.8676
_cell_length_c 3.9540
_cell_angle_alpha 90.00
_cell_angle_beta 90.00
_cell_angle_gamma 90.00
_space_group_name_H-M_alt 'P 4/m m m'
_space_group_IT_number 123
_space_group_name_Hall '-P 4 2'
loop_
_atom_site_label
_atom_site_fract_x
_atom_site_fract_y
_atom_site_fract_z
_atom_site_occupancy
Mg1 0.0000 0.0000 0.0000 1
Ni1 0.0000 0.5000 0.5000 1
Ru1 0.5000 0.5000 0.0000 1
N1 0.5000 0.5000 0.5000 1
# Spin magnetization ... 0.0 Bohr magnetons per cell
# ΔE_f (raw) ... -0.13 eV per atom


(2)
# MgNiRuN2, optimized geometry, DFT PBE
data_MgNiRuN2
_cell_length_a 3.6715
_cell_length_b 3.6715
_cell_length_c 4.8497
_cell_angle_alpha 90.00
_cell_angle_beta 90.00
_cell_angle_gamma 90.00
_space_group_name_H-M_alt 'P 4/m m m'
_space_group_IT_number 123
_space_group_name_Hall '-P 4 2'
loop_
_atom_site_label
_atom_site_fract_x
_atom_site_fract_y
_atom_site_fract_z
_atom_site_occupancy
Mg1 0.0000 0.0000 0.0000 1
Ni1 0.5000 0.5000 0.5000 1
Ru1 0.5000 0.5000 0.0000 1
N1 0.0000 0.5000 0.5000 1
# Spin magnetization ... 2.7 Bohr magnetons per cell
# ΔE_f (raw) ... 1.37 eV per atom


(3)
# MgNiS2N, optimized geometry, DFT PBE
data_MgNiS2N
_cell_length_a 4.7623
_cell_length_b 4.7623
_cell_length_c 3.8272
_cell_angle_alpha 90.00
_cell_angle_beta 90.00
_cell_angle_gamma 90.00
_space_group_name_H-M_alt 'P 4/m m m'
_space_group_IT_number 123
_space_group_name_Hall '-P 4 2'
loop_
_atom_site_label
_atom_site_fract_x
_atom_site_fract_y
_atom_site_fract_z
_atom_site_occupancy
Mg1 0.0000 0.0000 0.0000 1
Ni1 0.5000 0.5000 0.5000 1
S1 0.0000 0.5000 0.0000 1
N1 0.0000 0.0000 0.5000 1
# Spin magnetization ... 1.3 Bohr magnetons per cell
# E above lowest polymorph ... 967 meV/atom
# ΔE_f (raw) ... 1.12 eV per atom


(4)
# MgNiS2N, optimized geometry, DFT PBE
data_MgNiS2N
_cell_length_a 4.7585
_cell_length_b 4.7585
_cell_length_c 3.4214
_cell_angle_alpha 90.00
_cell_angle_beta 90.00
_cell_angle_gamma 90.00
_space_group_name_H-M_alt 'P 4/m m m'
_space_group_IT_number 123
_space_group_name_Hall '-P 4 2'
loop_
_atom_site_label
_atom_site_fract_x
_atom_site_fract_y
_atom_site_fract_z
_atom_site_occupancy
Mg1 0.0000 0.0000 0.0000 1
Ni1 0.5000 0.5000 0.5000 1
S1 0.0000 0.5000 0.5000 1
N1 0.5000 0.5000 0.0000 1
# Spin magnetization ... 0.4 Bohr magnetons per cell
# E above lowest polymorph ... 0 meV/atom
# ΔE_f (raw) ... 0.16 eV per atom


(5)
# MgNiSeN2, optimized geometry, DFT PBE
data_MgNiSeN2
_cell_length_a 3.7143
_cell_length_b 3.7143
_cell_length_c 5.1944
_cell_angle_alpha 90.00
_cell_angle_beta 90.00
_cell_angle_gamma 90.00
_space_group_name_H-M_alt 'P 4/m m m'
_space_group_IT_number 123
_space_group_name_Hall '-P 4 2'
loop_
_atom_site_label
_atom_site_fract_x
_atom_site_fract_y
_atom_site_fract_z
_atom_site_occupancy
Mg1 0.0000 0.0000 0.0000 1
Ni1 0.5000 0.5000 0.5000 1
Se1 0.5000 0.5000 0.0000 1
N1 0.0000 0.5000 0.5000 1
# Spin magnetization ... 2.2 Bohr magnetons per cell
# E above lowest polymorph ... 0 meV/atom
# ΔE_f (raw) ... 0.71 eV per atom


(6)
# MgNiSeN2, optimized geometry, DFT PBE
data_MgNiSeN2
_cell_length_a 3.8540
_cell_length_b 3.8540
_cell_length_c 5.2498
_cell_angle_alpha 90.00
_cell_angle_beta 90.00
_cell_angle_gamma 90.00
_space_group_name_H-M_alt 'P 4/m m m'
_space_group_IT_number 123
_space_group_name_Hall '-P 4 2'
loop_
_atom_site_label
_atom_site_fract_x
_atom_site_fract_y
_atom_site_fract_z
_atom_site_occupancy
Mg1 0.0000 0.0000 0.0000 1
Ni1 0.5000 0.5000 0.5000 1
Se1 0.0000 0.0000 0.5000 1
N1 0.0000 0.5000 0.0000 1
# Spin magnetization ... 1.0 Bohr magnetons per cell
# E above lowest polymorph ... 857 meV/atom
# ΔE_f (raw) ... 1.57 eV per atom


Number 1: V 11.829 A^3/atom. Number 2: V 13.075 A^3/atom. Number 3: V 17.360 A^3/atom. Number 4: V 15.494 A^3/atom. Number 5: V 14.332 A^3/atom. Number 6: V 15.596 A^3/atom.